Entry 1:
Material: TlMo
Method: DFT, PBE
State: relaxed

Output
**Formation energy**: 4.52 eV per formula unit
**D(E_F)**: 14.3 states/eV/cell
**M_tot**: 1.507 μB/atom
**Space-group type**: Pm-3n
**Calculated total energy**: -4.341 eV per atom

Unit cell a=7.853 b=7.853 c=7.853 alpha=90.00 beta=90.00 gamma=90.00
Last column: magnetic moment on the atom in μB.
Element x y z (fractional)
1 Tl 0.250 0.000 0.500  0.02
2 Tl 0.750 0.000 0.500  0.02
3 Tl 0.000 0.500 0.250  0.02
4 Tl 0.000 0.500 0.750  0.02
5 Tl 0.500 0.250 0.000  0.02
6 Tl 0.500 0.750 0.000  0.02
7 Mo 0.250 0.500 0.000  2.59
8 Mo 0.750 0.500 0.000  2.59
9 Mo 0.500 0.000 0.250  2.59
10 Mo 0.500 0.000 0.750  2.59
11 Mo 0.000 0.250 0.500  2.59
12 Mo 0.000 0.750 0.500  2.59


Entry 2:
Material: TlMo
Method: DFT, PBE
State: relaxed

Output
**Formation energy**: 1.88 eV per formula unit
**D(E_F)**: 29.6 states/eV/cell
**M_tot**: 0.000 μB/atom
**Space-group type**: Fddd
**Calculated total energy**: -5.660 eV per atom

Unit cell a=8.528 b=14.918 c=5.371 alpha=90.00 beta=90.00 gamma=90.00
Element x y z (fractional)
1 Tl 0.333 0.000 0.000
2 Tl 0.667 0.000 0.000
3 Tl 0.917 0.750 0.250
4 Tl 0.583 0.750 0.250
5 Tl 0.333 0.500 0.500
6 Tl 0.667 0.500 0.500
7 Tl 0.917 0.250 0.750
8 Tl 0.583 0.250 0.750
9 Tl 0.833 0.000 0.500
10 Tl 0.167 0.000 0.500
11 Tl 0.417 0.750 0.750
12 Tl 0.083 0.750 0.750
13 Tl 0.833 0.500 0.000
14 Tl 0.167 0.500 0.000
15 Tl 0.417 0.250 0.250
16 Tl 0.083 0.250 0.250
17 Mo 0.000 0.918 0.000
18 Mo 0.000 0.082 0.000
19 Mo 0.250 0.832 0.250
20 Mo 0.250 0.668 0.250
21 Mo 0.000 0.418 0.500
22 Mo 0.000 0.582 0.500
23 Mo 0.250 0.332 0.750
24 Mo 0.250 0.168 0.750
25 Mo 0.500 0.918 0.500
26 Mo 0.500 0.082 0.500
27 Mo 0.750 0.832 0.750
28 Mo 0.750 0.668 0.750
29 Mo 0.500 0.418 0.000
30 Mo 0.500 0.582 0.000
31 Mo 0.750 0.332 0.250
32 Mo 0.750 0.168 0.250


Entry 3:
Material: Tl2Mo
Method: DFT, PBE
State: relaxed

Output
**Formation energy**: 1.76 eV per formula unit
**D(E_F)**: 3.8 states/eV/cell
**M_tot**: 0.000 μB/atom
**Space-group type**: Immm
**Calculated total energy**: -4.600 eV per atom

Unit cell a=8.142 b=8.142 c=6.484 alpha=66.51 beta=66.51 gamma=21.79
Element x y z (fractional)
1 Tl 0.617 0.617 0.383
2 Tl 0.327 0.327 0.174
3 Tl 0.673 0.673 0.826
4 Tl 0.383 0.383 0.617
5 Mo 0.000 0.000 0.825
6 Mo 0.000 0.000 0.175


Entry 4:
Material: TlMo3
Method: DFT, PBE
State: relaxed

Output
**Formation energy**: 2.49 eV per formula unit
**D(E_F)**: 3.6 states/eV/cell
**M_tot**: 0.000 μB/atom
**Space-group type**: R-3m
**Calculated total energy**: -8.091 eV per atom

Unit cell a=5.405 b=5.405 c=5.405 alpha=117.02 beta=117.02 gamma=117.02
Element x y z (fractional)
1 Mo 0.000 0.000 0.000
2 Mo 0.500 0.000 0.500
3 Mo 0.000 0.500 0.500
4 Tl 0.500 0.500 0.000


Entry 5:
Material: Tl3Mo
Method: DFT, PBE
State: relaxed

Output
**Formation energy**: 2.35 eV per formula unit
**D(E_F)**: 2.8 states/eV/cell
**M_tot**: 0.000 μB/atom
**Space-group type**: Cmmm
**Calculated total energy**: -3.895 eV per atom

Unit cell a=3.083 b=3.083 c=10.909 alpha=90.00 beta=90.00 gamma=107.74
Element x y z (fractional)
1 Mo 0.000 0.000 0.000
2 Tl 0.500 0.500 0.784
3 Tl 0.000 0.000 0.500
4 Tl 0.500 0.500 0.216


Entry 6:
Material: TlMo
Method: DFT, PBE
State: relaxed

Output
**Formation energy**: 1.90 eV per formula unit
**D(E_F)**: 7.8 states/eV/cell
**M_tot**: 0.000 μB/atom
**Space-group type**: P2_13
**Calculated total energy**: -5.650 eV per atom

Unit cell a=5.397 b=5.397 c=5.397 alpha=90.00 beta=90.00 gamma=90.00
Element x y z (fractional)
1 Tl 0.403 0.903 0.597
2 Tl 0.097 0.097 0.097
3 Tl 0.597 0.403 0.903
4 Tl 0.903 0.597 0.403
5 Mo 0.107 0.607 0.893
6 Mo 0.393 0.393 0.393
7 Mo 0.893 0.107 0.607
8 Mo 0.607 0.893 0.107


Entry 7:
Material: TlMo
Method: DFT, PBE
State: relaxed

Output
**Formation energy**: 2.32 eV per formula unit
**D(E_F)**: 13.3 states/eV/cell
**M_tot**: 0.000 μB/atom
**Space-group type**: P6_3/mmc
**Calculated total energy**: -5.441 eV per atom

Unit cell a=5.051 b=5.051 c=7.957 alpha=90.00 beta=90.00 gamma=120.00
Element x y z (fractional)
1 Tl 0.000 0.000 0.250
2 Tl 0.000 0.000 0.750
3 Tl 0.333 0.667 0.750
4 Tl 0.667 0.333 0.250
5 Mo 0.333 0.667 0.103
6 Mo 0.667 0.333 0.603
7 Mo 0.667 0.333 0.897
8 Mo 0.333 0.667 0.397


Entry 8:
Material: TlMo
Method: DFT, PBE
State: relaxed

Output
**Formation energy**: 0.99 eV per formula unit
**D(E_F)**: 2.4 states/eV/cell
**M_tot**: 0.000 μB/atom
**Space-group type**: P-3m1
**Calculated total energy**: -6.106 eV per atom

Unit cell a=3.227 b=3.227 c=9.811 alpha=90.00 beta=90.00 gamma=120.00
Element x y z (fractional)
1 Mo 0.000 0.000 0.040
2 Mo 0.667 0.333 0.210
3 Tl 0.000 0.000 0.475
4 Tl 0.667 0.333 0.775


Entry 9:
Material: Tl3Mo
Method: DFT, PBE
State: relaxed

Output
**Formation energy**: 3.40 eV per formula unit
**D(E_F)**: 2.2 states/eV/cell
**M_tot**: 0.854 μB/atom
**Space-group type**: Fm-3m
**Calculated total energy**: -3.633 eV per atom

Unit cell a=5.277 b=5.277 c=5.277 alpha=60.00 beta=60.00 gamma=60.00
Last column: magnetic moment on the atom in μB.
Element x y z (fractional)
1 Mo 0.000 0.000 0.000  2.98
2 Tl 0.250 0.250 0.250  -0.02
3 Tl 0.500 0.500 0.500  -0.02
4 Tl 0.750 0.750 0.750  -0.02


Entry 10:
Material: Tl2Mo
Method: DFT, PBE
State: relaxed

Output
**Formation energy**: 1.50 eV per formula unit
**D(E_F)**: 3.4 states/eV/cell
**M_tot**: 0.000 μB/atom
**Space-group type**: C2/m
**Calculated total energy**: -4.687 eV per atom

Unit cell a=6.290 b=6.290 c=8.081 alpha=66.28 beta=66.28 gamma=30.39
Element x y z (fractional)
1 Tl 0.461 0.461 0.725
2 Tl 0.839 0.839 0.126
3 Tl 0.539 0.539 0.275
4 Tl 0.161 0.161 0.874
5 Mo 0.186 0.186 0.476
6 Mo 0.814 0.814 0.524


Entry 11:
Material: TlMo
Method: DFT, PBE
State: relaxed

Output
**Formation energy**: 0.95 eV per formula unit
**D(E_F)**: 2.8 states/eV/cell
**M_tot**: 0.000 μB/atom
**Space-group type**: P4/nmm
**Calculated total energy**: -6.125 eV per atom

Unit cell a=3.208 b=3.208 c=8.351 alpha=90.00 beta=90.00 gamma=90.00
Element x y z (fractional)
1 Mo 0.000 0.000 0.047
2 Mo 0.500 0.500 0.203
3 Tl 0.000 0.000 0.458
4 Tl 0.500 0.500 0.792


Entry 12:
Material: Tl3Mo
Method: DFT, PBE
State: relaxed

Output
**Formation energy**: 3.05 eV per formula unit
**D(E_F)**: 1.8 states/eV/cell
**M_tot**: 0.394 μB/atom
**Space-group type**: R-3m
**Calculated total energy**: -3.720 eV per atom

Unit cell a=5.836 b=5.836 c=5.836 alpha=116.36 beta=116.36 gamma=116.36
Last column: magnetic moment on the atom in μB.
Element x y z (fractional)
1 Mo 0.000 0.000 0.000  1.48
2 Tl 0.500 0.000 0.500  -0.02
3 Tl 0.500 0.500 0.000  -0.02
4 Tl 0.000 0.500 0.500  -0.02


Entry 13:
Material: TlMo2
Method: DFT, PBE
State: relaxed

Output
**Formation energy**: 1.99 eV per formula unit
**D(E_F)**: 2.4 states/eV/cell
**M_tot**: 0.000 μB/atom
**Space-group type**: Immm
**Calculated total energy**: -7.347 eV per atom

Unit cell a=5.032 b=5.032 c=5.032 alpha=146.97 beta=129.14 gamma=61.99
Element x y z (fractional)
1 Tl 0.000 0.000 0.000
2 Mo 0.668 0.668 0.000
3 Mo 0.332 0.332 0.000


Entry 14:
Material: TlMo
Method: DFT, PBE
State: relaxed

Output
**Formation energy**: 1.34 eV per formula unit
**D(E_F)**: 4.0 states/eV/cell
**M_tot**: 0.000 μB/atom
**Space-group type**: Cm
**Calculated total energy**: -5.929 eV per atom

Unit cell a=6.095 b=6.095 c=7.371 alpha=70.53 beta=70.53 gamma=30.02
Element x y z (fractional)
1 Tl 0.672 0.672 0.658
2 Tl 0.952 0.952 0.603
3 Tl 0.283 0.283 0.999
4 Mo 0.011 0.011 0.005
5 Mo 0.349 0.349 0.337
6 Mo 0.565 0.565 0.230


Entry 15:
Material: TlMo
Method: DFT, PBE
State: relaxed

Output
**Formation energy**: 1.93 eV per formula unit
**D(E_F)**: 1.9 states/eV/cell
**M_tot**: 0.000 μB/atom
**Space-group type**: Pm-3m
**Calculated total energy**: -5.633 eV per atom

Unit cell a=3.359 b=3.359 c=3.359 alpha=90.00 beta=90.00 gamma=90.00
Element x y z (fractional)
1 Mo 0.000 0.000 0.000
2 Tl 0.500 0.500 0.500


Entry 16:
Material: Tl3Mo2
Method: DFT, PBE
State: relaxed

Output
**Formation energy**: 2.72 eV per formula unit
**D(E_F)**: 6.5 states/eV/cell
**M_tot**: 0.000 μB/atom
**Space-group type**: Fdd2
**Calculated total energy**: -5.208 eV per atom

Unit cell a=12.430 b=10.105 c=7.604 alpha=87.98 beta=54.34 gamma=37.69
Element x y z (fractional)
1 Tl 0.678 0.042 0.115
2 Tl 0.166 0.115 0.042
3 Tl 0.135 0.084 0.572
4 Tl 0.208 0.572 0.084
5 Tl 0.860 0.640 0.640
6 Tl 0.610 0.390 0.390
7 Mo 0.434 0.531 0.173
8 Mo 0.862 0.173 0.531
9 Mo 0.077 0.388 0.816
10 Mo 0.719 0.816 0.388


Entry 17:
Material: Tl3Mo
Method: DFT, PBE
State: relaxed

Output
**Formation energy**: 3.20 eV per formula unit
**D(E_F)**: 4.7 states/eV/cell
**M_tot**: 0.509 μB/atom
**Space-group type**: P6_3/mmc
**Calculated total energy**: -3.682 eV per atom

Unit cell a=6.171 b=6.171 c=5.876 alpha=90.00 beta=90.00 gamma=120.00
Last column: magnetic moment on the atom in μB.
Element x y z (fractional)
1 Tl 0.831 0.661 0.250  -0.02
2 Tl 0.339 0.169 0.250  -0.02
3 Tl 0.831 0.169 0.250  -0.02
4 Tl 0.169 0.339 0.750  -0.02
5 Tl 0.661 0.831 0.750  -0.02
6 Tl 0.169 0.831 0.750  -0.02
7 Mo 0.333 0.667 0.250  1.85
8 Mo 0.667 0.333 0.750  1.85


Entry 18:
Material: TlMo2
Method: DFT, PBE
State: relaxed

Output
**Formation energy**: 1.98 eV per formula unit
**D(E_F)**: 3.7 states/eV/cell
**M_tot**: 0.000 μB/atom
**Space-group type**: Cm
**Calculated total energy**: -7.351 eV per atom

Unit cell a=5.538 b=5.538 c=6.797 alpha=75.92 beta=75.92 gamma=33.83
Element x y z (fractional)
1 Tl 0.048 0.048 0.398
2 Tl 0.746 0.746 0.059
3 Mo 0.028 0.028 0.956
4 Mo 0.653 0.653 0.683
5 Mo 0.329 0.329 0.365
6 Mo 0.363 0.363 0.705


Entry 19:
Material: Tl2Mo
Method: DFT, PBE
State: relaxed

Output
**Formation energy**: 2.65 eV per formula unit
**D(E_F)**: 3.2 states/eV/cell
**M_tot**: 0.000 μB/atom
**Space-group type**: Immm
**Calculated total energy**: -4.304 eV per atom

Unit cell a=5.912 b=5.912 c=5.912 alpha=148.91 beta=141.33 gamma=50.42
Element x y z (fractional)
1 Mo 0.000 0.000 0.000
2 Tl 0.650 0.650 0.000
3 Tl 0.350 0.350 0.000


Entry 20:
Material: Tl4Mo5
Method: DFT, PBE
State: relaxed

Output
**Formation energy**: 6.09 eV per formula unit
**D(E_F)**: 7.2 states/eV/cell
**M_tot**: 0.000 μB/atom
**Space-group type**: I4/mmm
**Calculated total energy**: -6.392 eV per atom

Unit cell a=6.907 b=6.907 c=6.907 alpha=95.38 beta=95.38 gamma=144.33
Element x y z (fractional)
1 Tl 0.315 0.000 0.315
2 Tl 0.685 0.000 0.685
3 Tl 0.000 0.685 0.685
4 Tl 0.000 0.315 0.315
5 Mo 0.000 0.000 0.000
6 Mo 0.360 0.640 0.000
7 Mo 0.640 0.360 0.000
8 Mo 0.640 0.640 0.279
9 Mo 0.360 0.360 0.721


Entry 21:
Material: TlMo3
Method: DFT, PBE
State: relaxed

Output
**Formation energy**: 2.34 eV per formula unit
**D(E_F)**: 2.4 states/eV/cell
**M_tot**: 0.000 μB/atom
**Space-group type**: I4/mmm
**Calculated total energy**: -8.129 eV per atom

Unit cell a=5.079 b=5.079 c=5.079 alpha=133.01 beta=133.01 gamma=68.63
Element x y z (fractional)
1 Mo 0.250 0.750 0.500
2 Mo 0.500 0.500 0.000
3 Mo 0.750 0.250 0.500
4 Tl 0.000 0.000 0.000


Entry 22:
Material: TlMo3
Method: DFT, PBE
State: relaxed

Output
**Formation energy**: 2.03 eV per formula unit
**D(E_F)**: 3.9 states/eV/cell
**M_tot**: 0.000 μB/atom
**Space-group type**: Immm
**Calculated total energy**: -8.208 eV per atom

Unit cell a=5.373 b=5.373 c=5.373 alpha=144.08 beta=129.54 gamma=63.48
Element x y z (fractional)
1 Mo 0.017 0.017 0.000
2 Mo 0.250 0.750 0.500
3 Mo 0.483 0.483 0.000
4 Tl 0.750 0.250 0.500


Entry 23:
Material: TlMo
Method: DFT, PBE
State: relaxed

Output
**Formation energy**: 1.55 eV per formula unit
**D(E_F)**: 7.4 states/eV/cell
**M_tot**: 0.000 μB/atom
**Space-group type**: P-3m1
**Calculated total energy**: -5.825 eV per atom

Unit cell a=4.858 b=4.858 c=11.807 alpha=90.00 beta=90.00 gamma=120.00
Element x y z (fractional)
1 Tl 0.000 0.000 0.371
2 Tl 0.000 0.000 0.629
3 Tl 0.333 0.667 0.783
4 Tl 0.333 0.667 0.057
5 Tl 0.667 0.333 0.943
6 Tl 0.667 0.333 0.217
7 Mo 0.000 0.000 0.103
8 Mo 0.000 0.000 0.897
9 Mo 0.333 0.667 0.519
10 Mo 0.333 0.667 0.311
11 Mo 0.667 0.333 0.689
12 Mo 0.667 0.333 0.481


Entry 24:
Material: TlMo
Method: DFT, PBE
State: relaxed

Output
**Formation energy**: 1.70 eV per formula unit
**D(E_F)**: 3.8 states/eV/cell
**M_tot**: 0.000 μB/atom
**Space-group type**: Pmma
**Calculated total energy**: -5.748 eV per atom

Unit cell a=3.237 b=4.656 c=5.214 alpha=90.00 beta=90.00 gamma=90.00
Element x y z (fractional)
1 Mo 0.000 0.000 0.035
2 Mo 0.000 0.500 0.299
3 Tl 0.500 0.000 0.493
4 Tl 0.500 0.500 0.840


Entry 25:
Material: Tl3Mo
Method: DFT, PBE
State: relaxed

Output
**Formation energy**: 2.93 eV per formula unit
**D(E_F)**: 3.4 states/eV/cell
**M_tot**: 0.085 μB/atom
**Space-group type**: Pmm2
**Calculated total energy**: -3.751 eV per atom

Unit cell a=3.137 b=5.383 c=5.497 alpha=90.00 beta=90.00 gamma=90.00
Last column: magnetic moment on the atom in μB.
Element x y z (fractional)
1 Mo 0.000 0.000 0.003  0.32
2 Tl 0.500 0.000 0.500  -0.01
3 Tl 0.500 0.500 0.841  0.00
4 Tl 0.000 0.500 0.322  0.00


Entry 26:
Material: Tl2Mo
Method: DFT, PBE
State: relaxed

Output
**Formation energy**: 2.94 eV per formula unit
**D(E_F)**: 9.8 states/eV/cell
**M_tot**: 0.722 μB/atom
**Space-group type**: Fm-3m
**Calculated total energy**: -4.209 eV per atom

Unit cell a=6.775 b=6.775 c=6.775 alpha=90.00 beta=90.00 gamma=90.00
Last column: magnetic moment on the atom in μB.
Element x y z (fractional)
1 Tl 0.750 0.750 0.250  -0.03
2 Tl 0.250 0.250 0.750  -0.03
3 Tl 0.250 0.750 0.750  -0.03
4 Tl 0.750 0.250 0.250  -0.03
5 Tl 0.250 0.250 0.250  -0.03
6 Tl 0.750 0.750 0.750  -0.03
7 Tl 0.750 0.250 0.750  -0.03
8 Tl 0.250 0.750 0.250  -0.03
9 Mo 0.000 0.000 0.000  2.01
10 Mo 0.500 0.500 0.000  2.01
11 Mo 0.500 0.000 0.500  2.01
12 Mo 0.000 0.500 0.500  2.01